(1)
DFT (GGA-PBE) results for a relaxed structure of Ta3SiBi.

```
data_Ta3SiBi
_chemical_formula_sum 'Ta3 Si1 Bi1'
_symmetry_space_group_name_H-M 'P m -3 m'
_symmetry_Int_Tables_number 221
_symmetry_space_group_name_Hall '-P 4 2 3'
_cell_length_a 4.740
_cell_length_b 4.740
_cell_length_c 4.740
_cell_angle_alpha 90.00
_cell_angle_beta 90.00
_cell_angle_gamma 90.00
loop_
_atom_site_label
_atom_site_fract_x
_atom_site_fract_y
_atom_site_fract_z
Ta1 0.000 0.000 0.500
Si1 0.000 0.000 0.000
Bi1 0.500 0.500 0.500
```

- formation energy without anion corrections (kJ/mol of formula units) = 414
- volume (Å³/f.u.) = 107
- calculated total energy (eV per atom) = -8.113
- E above lowest polymorph (meV per atom) = 0
- spin magnetization (μB/f.u.) = 0.0


(2)
DFT (GGA-PBE) results for a relaxed structure of Pm12Tm7Pu.

```
data_Pm12Tm7Pu
_chemical_formula_sum 'Pm36 Tm21 Pu3'
_symmetry_space_group_name_H-M 'R -3'
_symmetry_Int_Tables_number 148
_symmetry_space_group_name_Hall '-R 3'
_cell_length_a 19.4818
_cell_length_b 19.4818
_cell_length_c 6.1418
_cell_angle_alpha 90.00
_cell_angle_beta 90.00
_cell_angle_gamma 120.00
loop_
_atom_site_label
_atom_site_fract_x
_atom_site_fract_y
_atom_site_fract_z
Pm1 0.0002 0.4135 0.0000
Pm2 0.0981 0.5493 0.4778
Tm1 0.0000 0.0000 0.0000
Tm2 0.0802 0.1598 0.3047
Pu1 0.0000 0.0000 0.5000
```

- ΔH_f (0 K) (eV/atom) = 0.238
- volume (Å³/f.u.) = 673
- calculated total energy (eV per atom) = -4.894
- spin magnetization (μB/f.u.) = 5.9


(3)
DFT (GGA-PBE) results for a relaxed structure of TbPaI6.

```
data_TbPaI6
_chemical_formula_sum 'Tb2 Pa2 I12'
_symmetry_space_group_name_H-M 'C 1 2/m 1'
_symmetry_Int_Tables_number 12
_cell_length_a 7.527
_cell_length_b 14.825
_cell_length_c 7.526
_cell_angle_alpha 90.00
_cell_angle_beta 109.78
_cell_angle_gamma 90.00
loop_
_symmetry_equiv_pos_as_xyz
'x,y,z'
'-x,-y,-z'
'-x,y,-z'
'x,-y,z'
'x+1/2,y+1/2,z'
'-x+1/2,-y+1/2,-z'
'-x+1/2,y+1/2,-z'
'x+1/2,-y+1/2,z'
loop_
_atom_site_label
_atom_site_fract_x
_atom_site_fract_y
_atom_site_fract_z
Tb1 0.000 0.000 0.000
Pa1 0.000 0.500 0.500
I1 0.245 0.149 0.247
I2 0.250 0.000 0.753
```

- formation energy without anion corrections (kJ/mol of formula units) = -821
- volume (Å³/f.u.) = 395
- calculated total energy (eV per atom) = -3.992
- spin magnetization (μB/f.u.) = 2.0


Which value of calculated total energy does entry 1 give?
-8.113 eV per atom


Look up the spin magnetization of the second one.
5.9 μB/f.u.


The lowest spin magnetization belongs to which entry?
Ta3SiBi


What is the spin magnetization in the third record?
2.0 μB/f.u.